Cd2FeTe GGA-PBEsol optimized geometry; space group = Immm; DOS(E_F) = 4.617 states/eV per cell; crystal system = orthorhombic; formation energy (no corrections) = 0.92 eV/f.u.
1.0
3.006 0.000 0.000
0.000 4.156 0.000
0.000 0.000 13.034
Cd Fe Te
4 2 2
Cartesian
0.000 0.000 2.467
0.000 0.000 10.567
1.503 2.078 4.050
1.503 2.078 8.984
0.000 2.078 6.517
1.503 0.000 0.000
0.000 2.078 0.000
1.503 0.000 6.517